No. 1
This record from the Alexandria database describes NaBH8O7 after structural relaxation. The functional is PBE-GGA.

Calculated values
Its total energy is -5.335 eV/atom.

a b c (Å): 6.7323 7.0564 7.3880
angles (deg): 69.70 78.51 64.83
Last column: nearest neighbours and their distance in Å.
Space group P-1 (No. 2)
Asymmetric unit:
Na1 0.0000 0.0000 0.0000 x1  6 O 2.34-2.52
Na2 0.5000 0.0000 0.0000 x1  6 O 2.36-2.44
B1 0.1876 0.4861 0.3635 x2  4 O 1.44-1.52
H1 0.1654 0.4128 0.8403 x2  1 O 0.99
H2 0.1678 0.8667 0.3489 x2  1 O 0.99
H3 0.1717 0.0980 0.3220 x2  1 O 0.99
H4 0.1820 0.5211 0.0779 x2  1 O 1.00
H5 0.2531 0.0793 0.6696 x2  1 O 0.99
H6 0.3778 0.4711 0.8003 x2  1 O 0.99
H7 0.4076 0.8285 0.7427 x2  1 O 0.99
H8 0.4824 0.3279 0.4883 x2  1 O 0.98
O1 0.1015 0.6020 0.1749 x2  1 H 1.00
O2 0.1150 0.6341 0.4891 x2  1 O 1.49, 1 B 1.50
O3 0.1278 0.2883 0.4675 x2  1 O 1.49, 1 B 1.52
O4 0.2083 0.9871 0.2550 x2  2 H 0.99
O5 0.2958 0.3921 0.9001 x2  2 H 0.99
O6 0.3134 0.9576 0.7875 x2  2 H 0.99
O7 0.4302 0.3963 0.3578 x2  1 H 0.98

=====

No. 2
This record from the Alexandria database describes Na2B4H8O11 after structural relaxation. The functional is PBE-GGA.

Calculated values
Its total energy is -6.179 eV/atom.

a b c (Å): 7.1157 9.2308 15.6968
angles (deg): 90.00 108.54 90.00
Last column: nearest neighbours and their distance in Å.
Space group P2_1/c (No. 14)
Asymmetric unit:
Na1 0.1796 0.0347 0.1850 x4  6 O 2.36-2.57
Na2 0.3114 0.1319 0.4329 x4  5 O 2.32-2.48
B1 0.0490 0.6664 0.9224 x4  3 O 1.36-1.39
B2 0.0513 0.7321 0.7691 x4  4 O 1.44-1.54
B3 0.0735 0.5206 0.2001 x4  4 O 1.45-1.51
B4 0.3682 0.6854 0.2444 x4  3 O 1.37-1.40
H1 0.0614 0.6210 0.0475 x4  1 O 1.00
H2 0.2122 0.6295 0.5419 x4  1 O 0.99
H3 0.2312 0.1034 0.8628 x4  1 O 1.01
H4 0.2823 0.0190 0.0095 x4  1 O 1.00
H5 0.3904 0.1925 0.7436 x4  1 O 0.98
H6 0.3920 0.0136 0.6267 x4  1 O 0.99
H7 0.4335 0.6184 0.8656 x4  1 O 1.00
H8 0.4606 0.0863 0.9216 x4  1 O 1.00
O1 0.0109 0.5231 0.8975 x4  2 B 1.38-1.51
O2 0.0346 0.1498 0.2909 x4  2 B 1.44-1.45
O3 0.0588 0.0977 0.7600 x4  2 B 1.46-1.47
O4 0.0586 0.7286 0.3631 x4  2 B 1.36-1.50
O5 0.0823 0.7047 0.0114 x4  1 H 1.00
O6 0.2664 0.7064 0.7708 x4  1 B 1.37
O7 0.2879 0.5393 0.5642 x4  2 H 0.99-1.00
O8 0.2902 0.5517 0.2152 x4  2 B 1.37-1.51
O9 0.3288 0.1174 0.9246 x4  2 H 1.00-1.01
O10 0.4367 0.2074 0.2540 x4  1 H 0.98
O11 0.4692 0.0557 0.5901 x4  2 H 0.99-1.00

=====

Copy entry 1 word for word.
This record from the Alexandria database describes NaBH8O7 after structural relaxation. The functional is PBE-GGA.

Calculated values
Its total energy is -5.335 eV/atom.

a b c (Å): 6.7323 7.0564 7.3880
angles (deg): 69.70 78.51 64.83
Last column: nearest neighbours and their distance in Å.
Space group P-1 (No. 2)
Asymmetric unit:
Na1 0.0000 0.0000 0.0000 x1  6 O 2.34-2.52
Na2 0.5000 0.0000 0.0000 x1  6 O 2.36-2.44
B1 0.1876 0.4861 0.3635 x2  4 O 1.44-1.52
H1 0.1654 0.4128 0.8403 x2  1 O 0.99
H2 0.1678 0.8667 0.3489 x2  1 O 0.99
H3 0.1717 0.0980 0.3220 x2  1 O 0.99
H4 0.1820 0.5211 0.0779 x2  1 O 1.00
H5 0.2531 0.0793 0.6696 x2  1 O 0.99
H6 0.3778 0.4711 0.8003 x2  1 O 0.99
H7 0.4076 0.8285 0.7427 x2  1 O 0.99
H8 0.4824 0.3279 0.4883 x2  1 O 0.98
O1 0.1015 0.6020 0.1749 x2  1 H 1.00
O2 0.1150 0.6341 0.4891 x2  1 O 1.49, 1 B 1.50
O3 0.1278 0.2883 0.4675 x2  1 O 1.49, 1 B 1.52
O4 0.2083 0.9871 0.2550 x2  2 H 0.99
O5 0.2958 0.3921 0.9001 x2  2 H 0.99
O6 0.3134 0.9576 0.7875 x2  2 H 0.99
O7 0.4302 0.3963 0.3578 x2  1 H 0.98